! PBE TlTe2I2, optimized geometry; values from VASP
! formation energy (no corrections)	-0.02	eV/f.u.
! DOS at the Fermi energy	13.185	states/eV/cell
&SYSTEM
  ibrav = 0, nat = 10, ntyp = 3
/
ATOMIC_SPECIES
Tl 204.38 Tl.upf
Te 127.60 Te.upf
I 126.90 I.upf
CELL_PARAMETERS angstrom
8.656 0.000 0.000
0.000 8.656 0.000
0.000 0.000 5.212
ATOMIC_POSITIONS angstrom
Tl 0.000 0.000 0.000
Tl 4.328 4.328 0.000
Te 0.962 3.366 0.000
Te 3.366 7.694 0.000
Te 5.290 0.962 0.000
Te 7.694 5.290 0.000
I 1.926 6.254 2.606
I 2.402 1.926 2.606
I 6.254 6.730 2.606
I 6.730 2.402 2.606